(one)
# Tb3Th

An optimized crystal structure of Tb3Th (PBE, Alexandria).

CIF file:
```
data_Tb3Th
_chemical_formula_sum 'Tb6 Th2'
_cell_length_a 5.763
_cell_length_b 7.215
_cell_length_c 6.251
_cell_angle_alpha 90.00
_cell_angle_beta 90.00
_cell_angle_gamma 90.00
_symmetry_space_group_name_H-M 'P m m n'
_symmetry_Int_Tables_number 59
loop_
_symmetry_equiv_pos_as_xyz
'x,y,z'
'-x,-y,-z'
'-x+1/2,-y+1/2,z'
'x+1/2,y+1/2,-z'
'x+1/2,-y,-z'
'-x+1/2,y,z'
'-x,y+1/2,-z'
'x,-y+1/2,z'
loop_
_atom_site_label
_atom_site_fract_x
_atom_site_fract_y
_atom_site_fract_z
Tb1 0.250 0.001 0.165
Tb2 0.250 0.750 0.658
Th1 0.250 0.250 0.673
```

(two)
# Tb3Th

An optimized crystal structure of Tb3Th (PBE, Alexandria).

CIF file:
```
data_Tb3Th
_chemical_formula_sum 'Tb6 Th2'
_cell_length_a 3.605
_cell_length_b 11.539
_cell_length_c 6.208
_cell_angle_alpha 90.00
_cell_angle_beta 90.00
_cell_angle_gamma 90.00
_symmetry_space_group_name_H-M 'I m m 2'
_symmetry_Int_Tables_number 44
loop_
_symmetry_equiv_pos_as_xyz
'x,y,z'
'-x,-y,z'
'-x,y,z'
'x,-y,z'
'x+1/2,y+1/2,z+1/2'
'-x+1/2,-y+1/2,z+1/2'
'-x+1/2,y+1/2,z+1/2'
'x+1/2,-y+1/2,z+1/2'
loop_
_atom_site_label
_atom_site_fract_x
_atom_site_fract_y
_atom_site_fract_z
Tb1 0.000 0.000 0.000
Tb2 0.000 0.250 0.668
Th1 0.000 0.500 0.014
```

What is the least stable structure shown above? It is (one).